[1]
MnPOs: relaxed, PBE.

Cell and atoms, written as POSCAR:
```
MnPOs
1.0
0.0000 2.7554 2.7554
2.7554 0.0000 2.7554
2.7554 2.7554 0.0000
Mn Os P
1 1 1
direct
0.0000 0.0000 0.0000 Mn
0.5000 0.5000 0.5000 Os
0.2500 0.2500 0.2500 P
```

For the total energy, the calculation gives -8.733 eV/atom. Its space-group type is F-43m. The formation energy is -130 meV per atom. As for the total magnetization: 0.95 μB per atom.

---

[2]
MoOsRuC2: relaxed, PBE.

Cell and atoms, written as POSCAR:
```
MoOsRuC2
1.0
3.9667 0.0000 0.0000
0.0000 4.9176 0.0000
0.0000 0.0000 3.9667
Mo Ru Os C
1 1 1 2
direct
0.0000 0.0000 0.0000 Mo
0.0000 0.5000 0.0000 Ru
0.5000 0.5000 0.5000 Os
0.0000 0.0000 0.5000 C
0.5000 0.0000 0.0000 C
```

For the total energy, the calculation gives -7.516 eV/atom. Its space-group type is P4/mmm. The formation energy is 2441 meV per atom. As for the total magnetization: 0.53 μB per atom.

---

[3]
KAl2Se: relaxed, PBE.

Cell and atoms, written as POSCAR:
```
KAl2Se
1.0
-1.1711 3.1536 5.3274
1.6552 -2.1235 5.6964
2.3997 0.8826 -5.7585
Al Se K
2 1 1
direct
0.0000 0.0000 0.0000 Al
0.5000 0.5000 0.0000 Al
0.7500 0.2500 0.5000 Se
0.2500 0.7500 0.5000 K
```

The uncorrected formation energy is 59 meV/atom. For the total energy, the calculation gives -2.958 eV/atom. Its space-group type is I4/mmm. As for the total magnetization: 0.00 μB per atom.

---

[4]
EuDy2Pt: relaxed, PBE.

Cell and atoms, written as POSCAR:
```
EuDy2Pt
1.0
4.0932 0.0000 0.0000
2.0466 3.5448 0.0000
2.0466 1.1816 9.3184
Dy Pt Eu
2 1 1
direct
0.7200 0.7200 0.8398 Dy
0.2799 0.2799 0.1602 Dy
0.0000 0.0000 0.0000 Pt
0.5000 0.5000 0.5000 Eu
```

For the total energy, the calculation gives -6.938 eV/atom. Its space-group type is R-3m. The formation energy is -558 meV per atom. As for the energy above the most stable polymorph in this dataset: 16 meV per atom. As for the total magnetization: 1.97 μB per atom.